{
  "formula": "AlGe3O",
  "functional": "PBE",
  "state": "relaxed",
  "space_group": "No. 221",
  "e_above_lowest_polymorph_ev_per_atom": 0.000,
  "formation_energy_uncorrected_ev_per_atom": 0.020,
  "density_g_cm3": 4.94,
  "dft_energy_ev_per_atom": -4.49,
  "lattice_angstrom": [[4.444, 0.000, 0.000], [0.000, 4.444, 0.000], [0.000, 0.000, 4.444]],
  "species": ["Ge", "Ge", "O", "Ge", "Al"],
  "frac_coords": [[0.500, 0.000, 0.000], [0.000, 0.500, 0.000], [0.000, 0.000, 0.000], [0.000, 0.000, 0.500], [0.500, 0.500, 0.500]]
}